A plane-wave DFT calculation with PBE was carried out for an optimized crystal structure of Dy2Y5Th5.

Cell lengths 5.0564, 7.9615, 10.7465 Å; angles 72.72, 76.39, 71.48 degrees
Atoms (fractional coordinates):
Th  0.2502  0.7539  0.7457
Th  0.0000  0.0000  0.0000
Th  0.8302  0.8365  0.5032
Th  0.7498  0.2461  0.2543
Th  0.1698  0.1635  0.4968
Y  0.5841  0.0801  0.7517
Y  0.5000  0.5000  0.5000
Y  0.6678  0.6683  0.9962
Y  0.4159  0.9199  0.2483
Y  0.3322  0.3317  0.0038
Dy  0.0836  0.5825  0.2502
Dy  0.9164  0.4175  0.7498

The calculation puts the energy of formation from the pure elements at 0.050 eV/atom.